[1]
{"formula": "ScSbPbI2", "functional": "PBE-GGA", "state": "optimized geometry", "lattice": [[5.5647, 0.0000, 0.0000], [0.0000, 5.5647, 0.0000], [0.0000, 0.0000, 5.9094]], "species": ["Sc", "Sb", "Pb", "I", "I"], "fractional_positions": [[0.0000, 0.0000, 0.0000], [0.0000, 0.0000, 0.5000], [0.5000, 0.5000, 0.5000], [0.0000, 0.5000, 0.0000], [0.5000, 0.0000, 0.0000]], "total_energy_ev_per_atom": -3.74, "density_g_cm3": 5.70, "relative_energy_mev_per_atom": 0.0, "total_magnetization_mub_per_cell": 0.0}



[2]
{"formula": "SbPbSe2I", "functional": "PBE-GGA", "state": "optimized geometry", "lattice": [[8.1612, 0.0000, 0.0000], [0.0000, 4.2943, 0.0000], [-1.2314, 0.0000, 11.9473]], "species": ["Sb", "Sb", "Pb", "Pb", "Se", "Se", "Se", "Se", "I", "I"], "fractional_positions": [[0.1112, 0.2500, 0.1707], [0.8888, 0.7500, 0.8293], [0.2037, 0.2500, 0.6490], [0.7963, 0.7500, 0.3510], [0.0576, 0.2500, 0.3791], [0.0954, 0.2500, 0.8809], [0.9046, 0.7500, 0.1191], [0.9424, 0.7500, 0.6209], [0.4723, 0.7500, 0.7612], [0.5277, 0.2500, 0.2388]], "total_energy_ev_per_atom": -3.62, "density_g_cm3": 4.87, "total_magnetization_mub_per_cell": 0.0}



[3]
{"formula": "SnSb2PbI", "functional": "PBE-GGA", "state": "optimized geometry", "lattice": [[5.7143, 0.0000, 0.0000], [0.0000, 5.7143, 0.0000], [0.0000, 0.0000, 5.9024]], "species": ["Sn", "Sb", "Sb", "Pb", "I"], "fractional_positions": [[0.0000, 0.0000, 0.0000], [0.0000, 0.5000, 0.0000], [0.5000, 0.0000, 0.0000], [0.5000, 0.5000, 0.5000], [0.0000, 0.0000, 0.5000]], "total_energy_ev_per_atom": -3.02, "density_g_cm3": 6.00, "relative_energy_mev_per_atom": 0.0, "total_magnetization_mub_per_cell": 0.0}



[4]
{"formula": "SnSb2PbI", "functional": "PBE-GGA", "state": "optimized geometry", "lattice": [[5.8471, 0.0000, 0.0000], [0.0000, 5.8471, 0.0000], [0.0000, 0.0000, 6.0187]], "species": ["Sn", "Sb", "Sb", "Pb", "I"], "fractional_positions": [[0.0000, 0.0000, 0.0000], [0.0000, 0.5000, 0.5000], [0.5000, 0.0000, 0.5000], [0.5000, 0.5000, 0.5000], [0.5000, 0.5000, 0.0000]], "total_energy_ev_per_atom": -2.83, "density_g_cm3": 5.62, "relative_energy_mev_per_atom": 189.8, "total_magnetization_mub_per_cell": 0.6}



[5]
{"formula": "SrSbPbI2", "functional": "PBE-GGA", "state": "optimized geometry", "lattice": [[6.0903, 0.0000, 0.0000], [0.0000, 6.0903, 0.0000], [0.0000, 0.0000, 6.6217]], "species": ["Sr", "Sb", "Pb", "I", "I"], "fractional_positions": [[0.0000, 0.0000, 0.0000], [0.0000, 0.0000, 0.5000], [0.5000, 0.5000, 0.5000], [0.0000, 0.5000, 0.0000], [0.5000, 0.0000, 0.0000]], "total_energy_ev_per_atom": -2.71, "density_g_cm3": 4.53, "relative_energy_mev_per_atom": 131.5, "total_magnetization_mub_per_cell": 1.0}



[6]
{"formula": "SrSbPbI2", "functional": "PBE-GGA", "state": "optimized geometry", "lattice": [[6.1013, 0.0000, 0.0000], [0.0000, 6.1013, 0.0000], [0.0000, 0.0000, 6.0557]], "species": ["Sr", "Sb", "Pb", "I", "I"], "fractional_positions": [[0.0000, 0.0000, 0.0000], [0.5000, 0.5000, 0.0000], [0.5000, 0.5000, 0.5000], [0.0000, 0.5000, 0.5000], [0.5000, 0.0000, 0.5000]], "total_energy_ev_per_atom": -2.85, "density_g_cm3": 4.94, "relative_energy_mev_per_atom": 0.0, "total_magnetization_mub_per_cell": 0.5}



[7]
{"formula": "SrSb2PbI", "functional": "PBE-GGA", "state": "optimized geometry", "lattice": [[5.9174, 0.0000, 0.0000], [0.0000, 5.9174, 0.0000], [0.0000, 0.0000, 5.9347]], "species": ["Sr", "Sb", "Sb", "Pb", "I"], "fractional_positions": [[0.0000, 0.0000, 0.0000], [0.0000, 0.5000, 0.5000], [0.5000, 0.0000, 0.5000], [0.5000, 0.5000, 0.0000], [0.0000, 0.0000, 0.5000]], "total_energy_ev_per_atom": -2.72, "density_g_cm3": 5.32, "relative_energy_mev_per_atom": 327.0, "total_magnetization_mub_per_cell": 0.0}



[8]
{"formula": "SrSb2PbI", "functional": "PBE-GGA", "state": "optimized geometry", "lattice": [[5.7943, 0.0000, 0.0000], [0.0000, 5.7943, 0.0000], [0.0000, 0.0000, 6.2604]], "species": ["Sr", "Sb", "Sb", "Pb", "I"], "fractional_positions": [[0.0000, 0.0000, 0.0000], [0.0000, 0.5000, 0.5000], [0.5000, 0.0000, 0.5000], [0.5000, 0.5000, 0.5000], [0.5000, 0.5000, 0.0000]], "total_energy_ev_per_atom": -3.04, "density_g_cm3": 5.26, "relative_energy_mev_per_atom": 0.0, "total_magnetization_mub_per_cell": 0.0}



[9]
{"formula": "SrSb2PbI", "functional": "PBE-GGA", "state": "optimized geometry", "lattice": [[6.1210, 0.0000, 0.0000], [0.0000, 6.1210, 0.0000], [0.0000, 0.0000, 6.0666]], "species": ["Sr", "Sb", "Sb", "Pb", "I"], "fractional_positions": [[0.0000, 0.0000, 0.0000], [0.0000, 0.5000, 0.0000], [0.5000, 0.0000, 0.0000], [0.5000, 0.5000, 0.5000], [0.0000, 0.0000, 0.5000]], "total_energy_ev_per_atom": -2.72, "density_g_cm3": 4.86, "relative_energy_mev_per_atom": 322.0, "total_magnetization_mub_per_cell": 0.7}



[10]
{"formula": "TcSb2PbI", "functional": "PBE-GGA", "state": "optimized geometry", "lattice": [[5.1110, 0.0000, 0.0000], [0.0000, 5.1110, 0.0000], [0.0000, 0.0000, 5.8843]], "species": ["Tc", "Sb", "Sb", "Pb", "I"], "fractional_positions": [[0.0000, 0.0000, 0.0000], [0.0000, 0.5000, 0.0000], [0.5000, 0.0000, 0.0000], [0.5000, 0.5000, 0.5000], [0.0000, 0.0000, 0.5000]], "total_energy_ev_per_atom": -4.37, "density_g_cm3": 7.30, "relative_energy_mev_per_atom": 0.0, "total_magnetization_mub_per_cell": 0.0}



[11]
{"formula": "Sb2TePbI", "functional": "PBE-GGA", "state": "optimized geometry", "lattice": [[5.8963, 0.0000, 0.0000], [0.0000, 5.8963, 0.0000], [0.0000, 0.0000, 5.8932]], "species": ["Sb", "Sb", "Te", "Pb", "I"], "fractional_positions": [[0.0000, 0.5000, 0.0000], [0.5000, 0.0000, 0.0000], [0.0000, 0.0000, 0.5000], [0.5000, 0.5000, 0.5000], [0.0000, 0.0000, 0.0000]], "total_energy_ev_per_atom": -2.50, "density_g_cm3": 5.72, "relative_energy_mev_per_atom": 249.7, "total_magnetization_mub_per_cell": 0.0}



[12]
{"formula": "Sb2TePbI", "functional": "PBE-GGA", "state": "optimized geometry", "lattice": [[5.8214, 0.0000, 0.0000], [0.0000, 5.8214, 0.0000], [0.0000, 0.0000, 5.8547]], "species": ["Sb", "Sb", "Te", "Pb", "I"], "fractional_positions": [[0.0000, 0.5000, 0.0000], [0.5000, 0.0000, 0.0000], [0.0000, 0.0000, 0.0000], [0.5000, 0.5000, 0.5000], [0.0000, 0.0000, 0.5000]], "total_energy_ev_per_atom": -2.75, "density_g_cm3": 5.90, "relative_energy_mev_per_atom": 0.0, "total_magnetization_mub_per_cell": 0.0}